[1]
Sb7Mo3 | GGA-PBEsol | relaxed

```
Sb7Mo3
1.0
-4.767 4.767 4.767
4.767 -4.767 4.767
4.767 4.767 -4.767
Sb Mo
14 6
Cartesian
1.537 1.537 -1.537 Sb
3.230 3.230 -3.230 Sb
1.537 -1.537 1.537 Sb
3.230 -3.230 3.230 Sb
4.767 2.384 0.000 Sb
4.767 0.000 2.384 Sb
-1.537 1.537 1.537 Sb
1.537 1.537 1.537 Sb
2.384 4.767 0.000 Sb
2.384 0.000 4.767 Sb
-3.230 3.230 3.230 Sb
3.230 3.230 3.230 Sb
0.000 4.767 2.384 Sb
0.000 2.384 4.767 Sb
3.266 0.000 0.000 Mo
6.269 0.000 0.000 Mo
0.000 3.266 0.000 Mo
0.000 0.000 3.266 Mo
0.000 6.269 0.000 Mo
0.000 0.000 6.269 Mo
```

Output
- Uncorrected energy: -6.78 eV/atom
- Symmetry: Im-3m
- V: 21.67 A^3/atom
- Formation energy without anion corrections: -1.44 kcal/mol of atoms

=====

[2]
Sb5Mo | GGA-PBEsol | relaxed

```
Sb5Mo
1.0
0.000 4.275 4.275
4.275 0.000 4.275
4.275 4.275 0.000
Sb Mo
5 1
Cartesian
0.000 0.000 0.000 Sb
3.207 3.207 3.207 Sb
5.343 5.343 3.207 Sb
5.343 3.207 5.343 Sb
3.207 5.343 5.343 Sb
6.413 6.413 6.413 Mo
```

Output
- Uncorrected energy: -4.82 eV/atom
- Symmetry: F-43m
- V: 26.04 A^3/atom
- Formation energy without anion corrections: 21.60 kcal/mol of atoms

=====

[3]
ScSbMo2 | GGA-PBEsol | relaxed

```
ScSbMo2
1.0
1.562 0.902 8.716
-1.562 0.902 8.716
0.000 -1.803 8.716
Sc Sb Mo
1 1 2
Cartesian
0.000 0.000 0.000 Sc
0.000 0.000 13.074 Sb
0.000 0.000 6.429 Mo
0.000 0.000 19.720 Mo
```

Output
- Uncorrected energy: -8.27 eV/atom
- Symmetry: R-3m
- V: 18.41 A^3/atom
- Formation energy without anion corrections: 9.36 kcal/mol of atoms

=====

[4]
Sc2SbMo | GGA-PBEsol | relaxed

```
Sc2SbMo
1.0
1.843 -2.505 0.000
1.843 2.505 0.000
0.000 0.000 8.923
Sc Sb Mo
2 1 1
Cartesian
0.000 0.000 0.000 Sc
1.843 0.000 2.610 Sc
1.843 0.000 6.657 Sb
0.000 0.000 4.664 Mo
```

Output
- Uncorrected energy: -7.29 eV/atom
- Symmetry: Cmm2
- V: 20.60 A^3/atom
- Formation energy without anion corrections: 2.07 kcal/mol of atoms

=====

[5]
Sc2SbMo | GGA-PBEsol | relaxed

```
Sc2SbMo
1.0
5.091 -1.876 0.000
5.091 1.876 0.000
-1.904 0.000 4.033
Sc Sb Mo
2 1 1
Cartesian
0.000 0.000 0.000 Sc
1.039 0.000 3.029 Sc
3.996 0.000 1.937 Sb
7.088 0.000 1.047 Mo
```

Output
- Uncorrected energy: -7.61 eV/atom
- Symmetry: Cm
- V: 19.26 A^3/atom
- Formation energy without anion corrections: -5.26 kcal/mol of atoms

=====

[6]
Sc2SbMo | GGA-PBEsol | relaxed

```
Sc2SbMo
1.0
0.000 3.336 3.336
3.336 0.000 3.336
3.336 3.336 0.000
Sc Sb Mo
2 1 1
Cartesian
0.000 0.000 0.000 Sc
1.668 1.668 1.668 Sc
3.336 3.336 3.336 Sb
5.003 5.003 5.003 Mo
```

Output
- Uncorrected energy: -7.56 eV/atom
- Symmetry: F-43m
- V: 18.56 A^3/atom
- Formation energy without anion corrections: -3.97 kcal/mol of atoms

=====

[7]
SbMo2Se | GGA-PBEsol | relaxed

```
SbMo2Se
1.0
3.097 0.000 0.000
0.000 3.097 0.000
0.000 0.000 7.996
Sb Mo Se
1 2 1
Cartesian
0.000 0.000 0.000 Sb
0.000 0.000 4.421 Mo
1.548 1.548 6.109 Mo
1.548 1.548 3.087 Se
```

Output
- Uncorrected energy: -7.98 eV/atom
- Symmetry: P4mm
- V: 19.17 A^3/atom
- Formation energy without anion corrections: 0.05 kcal/mol of atoms

=====

[8]
SiSbMo2 | GGA-PBEsol | relaxed

```
SiSbMo2
1.0
0.000 3.160 3.160
3.160 0.000 3.160
3.160 3.160 0.000
Si Sb Mo
1 1 2
Cartesian
0.000 0.000 0.000 Si
3.160 3.160 3.160 Sb
1.580 1.580 1.580 Mo
4.739 4.739 4.739 Mo
```

Output
- Uncorrected energy: -8.35 eV/atom
- Symmetry: Fm-3m
- V: 15.77 A^3/atom
- Formation energy without anion corrections: 2.52 kcal/mol of atoms

=====

[9]
SiSbMo2 | GGA-PBEsol | relaxed

```
SiSbMo2
1.0
3.160 0.000 0.000
0.000 3.481 0.000
-0.886 0.000 5.912
Si Sb Mo
1 1 2
Cartesian
0.000 0.000 0.000 Si
-0.443 0.000 2.956 Sb
1.000 1.740 1.344 Mo
1.274 1.740 4.568 Mo
```

Output
- Uncorrected energy: -8.35 eV/atom
- Symmetry: P2/m
- V: 16.25 A^3/atom
- Formation energy without anion corrections: 2.55 kcal/mol of atoms

=====

[10]
SiSbMo | GGA-PBEsol | relaxed

```
SiSbMo
1.0
0.000 3.105 3.105
3.105 0.000 3.105
3.105 3.105 0.000
Si Sb Mo
1 1 1
Cartesian
0.000 0.000 0.000 Si
3.105 3.105 3.105 Sb
1.553 1.553 1.553 Mo
```

Output
- Uncorrected energy: -6.87 eV/atom
- Symmetry: F-43m
- V: 19.96 A^3/atom
- Formation energy without anion corrections: 11.34 kcal/mol of atoms

=====

[11]
SiSbMo | GGA-PBEsol | relaxed

```
SiSbMo
1.0
4.265 0.000 0.000
-2.132 3.693 0.000
0.000 0.000 3.411
Si Sb Mo
1 1 1
Cartesian
0.000 0.000 0.000 Si
2.132 1.231 1.706 Sb
0.000 2.462 0.000 Mo
```

Output
- Uncorrected energy: -7.05 eV/atom
- Symmetry: P-6m2
- V: 17.91 A^3/atom
- Formation energy without anion corrections: 6.98 kcal/mol of atoms

=====

[12]
SiSbMo | GGA-PBEsol | relaxed

```
SiSbMo
1.0
-1.671 1.671 4.488
1.671 -1.671 4.488
1.671 1.671 -4.488
Si Sb Mo
1 1 1
Cartesian
0.000 0.000 0.000 Si
0.000 0.000 2.775 Sb
0.000 0.000 5.585 Mo
```

Output
- Uncorrected energy: -7.38 eV/atom
- Symmetry: I4mm
- V: 16.72 A^3/atom
- Formation energy without anion corrections: -0.56 kcal/mol of atoms

=====

- What is the formation energy without anion corrections in the seventh record?
  0.05 kcal/mol of atoms

=====

What did the third record say?
ScSbMo2 | GGA-PBEsol | relaxed

```
ScSbMo2
1.0
1.562 0.902 8.716
-1.562 0.902 8.716
0.000 -1.803 8.716
Sc Sb Mo
1 1 2
Cartesian
0.000 0.000 0.000 Sc
0.000 0.000 13.074 Sb
0.000 0.000 6.429 Mo
0.000 0.000 19.720 Mo
```

Output
- Uncorrected energy: -8.27 eV/atom
- Symmetry: R-3m
- V: 18.41 A^3/atom
- Formation energy without anion corrections: 9.36 kcal/mol of atoms

=====

- Number 12 is which compound?
  SiSbMo